[1]
Tm, relaxed, DFT PBE; magnetization = 0.0 μB/f.u.; ΔE_f = 0.191 eV per atom; energy = -85.7 eV per cell; energy relative to the lowest polymorph listed for this composition = 0.19 eV per formula unit
1.0
8.490 0.000 0.000
0.000 8.490 0.000
0.000 0.000 8.490
Tm
20
direct
0.875 0.706 0.044 Tm
0.059 0.059 0.059 Tm
0.206 0.456 0.125 Tm
0.809 0.309 0.191 Tm
0.456 0.125 0.206 Tm
0.544 0.625 0.294 Tm
0.191 0.809 0.309 Tm
0.794 0.956 0.375 Tm
0.941 0.559 0.441 Tm
0.125 0.206 0.456 Tm
0.625 0.294 0.544 Tm
0.441 0.941 0.559 Tm
0.294 0.544 0.625 Tm
0.691 0.691 0.691 Tm
0.044 0.875 0.706 Tm
0.956 0.375 0.794 Tm
0.309 0.191 0.809 Tm
0.706 0.044 0.875 Tm
0.559 0.441 0.941 Tm
0.375 0.794 0.956 Tm

[2]
BaLiGdS3, relaxed, DFT PBE; magnetization = 0.0 μB/f.u.; energy = -65.1 eV per cell; energy relative to the lowest polymorph listed for this composition = 0.00 eV per formula unit
1.0
2.060 -6.779 0.000
2.060 6.779 0.000
0.000 0.000 10.388
Ba Gd Li S
2 2 2 6
direct
0.755 0.245 0.250 Ba
0.245 0.755 0.750 Ba
0.500 0.500 0.000 Gd
0.500 0.500 0.500 Gd
0.030 0.970 0.250 Li
0.970 0.030 0.750 Li
0.131 0.869 0.062 S
0.434 0.566 0.250 S
0.131 0.869 0.438 S
0.869 0.131 0.562 S
0.566 0.434 0.750 S
0.869 0.131 0.938 S